Entry from Alexandria via LeMat-Bulk: a geometry-optimized LaEuAs structure (PBE).

DFT total energy = -7.488 eV/atom
total moment = 7.79 μB per formula unit
polymorph energy (0 for the lowest one) = 0.0000 eV per atom
energy of formation from the pure elements = -0.871 eV per atom

```
data_LaEuAs
_cell_length_a 5.0995
_cell_length_b 5.0995
_cell_length_c 5.0995
_cell_angle_alpha 60.00
_cell_angle_beta 60.00
_cell_angle_gamma 60.00
_space_group_name_H-M_alt 'P 1'
_space_group_IT_number 1
loop_
_space_group_symop_operation_xyz
'x,y,z'
loop_
_atom_site_label
_atom_site_fract_x
_atom_site_fract_y
_atom_site_fract_z
As1 0.2500 0.2500 0.2500
Eu1 0.5000 0.5000 0.5000
La1 0.0000 0.0000 0.0000
```